[1]
A relaxed structure of CeTaSe3. Source: the Alexandria database, functional GGA-PBE.

Cell: 7.008 4.306 8.024 Å, 90.00 104.78 90.00°
Fractional positions:
Ce  0.109  0.250  0.283
Ce  0.891  0.750  0.717
Ta  0.427  0.750  0.881
Ta  0.573  0.250  0.119
Se  0.184  0.250  0.910
Se  0.224  0.750  0.553
Se  0.390  0.750  0.200
Se  0.610  0.250  0.800
Se  0.776  0.250  0.447
Se  0.816  0.750  0.090

Values from the calculation:
The value obtained for the volume is 23.410 Å³ per atom. The polymorph energy (0 for the lowest one) comes out at 63 meV per atom. The raw formation energy comes out at -1.192 eV per atom. Its density of states at the Fermi level is 12.3 states/eV/cell. For the final energy, the calculation gives -6.84 eV per atom.

=====

[2]
A relaxed structure of CeTa4Se8. Source: the Alexandria database, functional GGA-PBE.

Cell: 7.638 7.638 7.638 Å, 60.00 60.00 60.00°
Fractional positions:
Ce  0.000  0.000  0.000
Ta  0.399  0.399  0.399
Ta  0.399  0.399  0.804
Ta  0.399  0.804  0.399
Ta  0.804  0.399  0.399
Se  0.102  0.633  0.633
Se  0.146  0.146  0.146
Se  0.146  0.146  0.563
Se  0.146  0.563  0.146
Se  0.563  0.146  0.146
Se  0.633  0.102  0.633
Se  0.633  0.633  0.102
Se  0.633  0.633  0.633

Values from the calculation:
The value obtained for the volume is 24.234 Å³ per atom. The polymorph energy (0 for the lowest one) comes out at 46 meV per atom. The raw formation energy comes out at -0.826 eV per atom. Its density of states at the Fermi level is 14.9 states/eV/cell. For the final energy, the calculation gives -7.07 eV per atom.

=====

[3]
A relaxed structure of CeTa4Se8. Source: the Alexandria database, functional GGA-PBE.

Cell: 8.149 8.149 8.149 Å, 51.94 51.94 51.94°
Fractional positions:
Ce  0.000  0.000  0.000
Ta  0.000  0.000  0.500
Ta  0.000  0.500  0.000
Ta  0.500  0.000  0.000
Ta  0.500  0.500  0.500
Se  0.244  0.244  0.244
Se  0.257  0.738  0.738
Se  0.262  0.262  0.743
Se  0.262  0.743  0.262
Se  0.738  0.257  0.738
Se  0.738  0.738  0.257
Se  0.743  0.262  0.262
Se  0.756  0.756  0.756

Values from the calculation:
The value obtained for the volume is 23.859 Å³ per atom. The polymorph energy (0 for the lowest one) comes out at 0 meV per atom. The raw formation energy comes out at -0.872 eV per atom. Its density of states at the Fermi level is 9.7 states/eV/cell. For the final energy, the calculation gives -7.12 eV per atom.

=====

[4]
A relaxed structure of Ce2TaSe6. Source: the Alexandria database, functional GGA-PBE.

Cell: 6.512 7.604 11.154 Å, 90.00 124.63 90.00°
Fractional positions:
Ce  0.211  0.122  0.250
Ce  0.211  0.378  0.750
Ce  0.789  0.622  0.250
Ce  0.789  0.878  0.750
Ta  0.500  0.000  0.000
Ta  0.500  0.500  0.500
Se  0.106  0.170  0.941
Se  0.106  0.330  0.441
Se  0.289  0.694  0.942
Se  0.289  0.806  0.442
Se  0.358  0.028  0.733
Se  0.358  0.472  0.233
Se  0.642  0.528  0.767
Se  0.642  0.972  0.267
Se  0.711  0.194  0.558
Se  0.711  0.306  0.058
Se  0.894  0.670  0.559
Se  0.894  0.830  0.059

Values from the calculation:
The value obtained for the volume is 25.249 Å³ per atom. The raw formation energy comes out at -1.324 eV per atom. Its density of states at the Fermi level is 16.5 states/eV/cell. For the final energy, the calculation gives -6.28 eV per atom.

=====

[5]
A relaxed structure of CeTaSe3. Source: the Alexandria database, functional GGA-PBE.

Cell: 7.644 7.644 8.414 Å, 92.31 92.31 28.46°
Fractional positions:
Ce  0.104  0.104  0.396
Ce  0.896  0.896  0.604
Ta  0.293  0.293  0.118
Ta  0.707  0.707  0.882
Se  0.121  0.121  0.033
Se  0.249  0.249  0.669
Se  0.445  0.445  0.329
Se  0.555  0.555  0.671
Se  0.751  0.751  0.331
Se  0.879  0.879  0.967

Values from the calculation:
The value obtained for the volume is 23.416 Å³ per atom. The polymorph energy (0 for the lowest one) comes out at 0 meV per atom. The raw formation energy comes out at -1.255 eV per atom. Its density of states at the Fermi level is 11.0 states/eV/cell. For the final energy, the calculation gives -6.90 eV per atom.

=====

[6]
A relaxed structure of Ce5Ta2Se12. Source: the Alexandria database, functional GGA-PBE.

Cell: 8.954 8.954 9.069 Å, 105.02 105.02 48.13°
Fractional positions:
Ce  0.000  0.000  0.000
Ce  0.301  0.301  0.149
Ce  0.314  0.314  0.660
Ce  0.686  0.686  0.340
Ce  0.699  0.699  0.851
Ta  0.288  0.712  0.500
Ta  0.712  0.288  0.500
Se  0.001  0.001  0.317
Se  0.084  0.587  0.416
Se  0.096  0.601  0.928
Se  0.399  0.904  0.072
Se  0.413  0.916  0.584
Se  0.497  0.497  0.267
Se  0.503  0.503  0.733
Se  0.587  0.084  0.416
Se  0.601  0.096  0.928
Se  0.904  0.399  0.072
Se  0.916  0.413  0.584
Se  0.999  0.999  0.683

Values from the calculation:
The value obtained for the volume is 27.324 Å³ per atom. The raw formation energy comes out at -1.433 eV per atom. Its density of states at the Fermi level is 29.5 states/eV/cell. For the final energy, the calculation gives -6.44 eV per atom.

=====

[7]
A relaxed structure of CeTaSe6. Source: the Alexandria database, functional GGA-PBE.

Cell: 6.609 6.609 6.514 Å, 114.28 114.28 76.26°
Fractional positions:
Ce  0.000  0.000  0.000
Ta  0.500  0.500  0.500
Se  0.160  0.604  0.647
Se  0.294  0.294  0.073
Se  0.396  0.840  0.353
Se  0.604  0.160  0.647
Se  0.706  0.706  0.927
Se  0.840  0.396  0.353

Values from the calculation:
The value obtained for the volume is 29.452 Å³ per atom. The raw formation energy comes out at -0.683 eV per atom. Its density of states at the Fermi level is 7.9 states/eV/cell. For the final energy, the calculation gives -5.52 eV per atom.

=====

[8]
A relaxed structure of Ce3TaTl3Se8. Source: the Alexandria database, functional GGA-PBE.

Cell: 9.261 9.261 9.261 Å, 53.19 53.19 53.19°
Fractional positions:
Ce  0.000  0.500  0.500
Ce  0.500  0.000  0.500
Ce  0.500  0.500  0.000
Ta  0.000  0.000  0.000
Tl  0.000  0.000  0.500
Tl  0.000  0.500  0.000
Tl  0.500  0.000  0.000
Se  0.217  0.217  0.763
Se  0.217  0.763  0.217
Se  0.237  0.783  0.783
Se  0.262  0.262  0.262
Se  0.738  0.738  0.738
Se  0.763  0.217  0.217
Se  0.783  0.237  0.783
Se  0.783  0.783  0.237

Values from the calculation:
The value obtained for the volume is 31.472 Å³ per atom. The raw formation energy comes out at -1.161 eV per atom. Its density of states at the Fermi level is 20.6 states/eV/cell. For the final energy, the calculation gives -5.47 eV per atom.

=====

[9]
A relaxed structure of TbCe2Se3. Source: the Alexandria database, functional GGA-PBE.

Cell: 4.100 4.100 21.155 Å, 90.00 90.00 120.00°
Fractional positions:
Tb  0.000  0.000  0.250
Tb  0.000  0.000  0.750
Ce  0.333  0.667  0.083
Ce  0.333  0.667  0.417
Ce  0.667  0.333  0.583
Ce  0.667  0.333  0.917
Se  0.000  0.000  0.000
Se  0.000  0.000  0.500
Se  0.333  0.667  0.668
Se  0.333  0.667  0.832
Se  0.667  0.333  0.168
Se  0.667  0.333  0.332

Values from the calculation:
The value obtained for the volume is 25.663 Å³ per atom. The polymorph energy (0 for the lowest one) comes out at 23 meV per atom. The raw formation energy comes out at -1.785 eV per atom. Its density of states at the Fermi level is 24.9 states/eV/cell. For the final energy, the calculation gives -6.28 eV per atom.

=====

[10]
A relaxed structure of Tb4CeSe7. Source: the Alexandria database, functional GGA-PBE.

Cell: 7.081 7.081 12.322 Å, 103.85 103.85 32.83°
Fractional positions:
Tb  0.000  0.000  0.000
Tb  0.186  0.186  0.768
Tb  0.586  0.586  0.396
Tb  0.886  0.886  0.583
Ce  0.772  0.772  0.159
Se  0.139  0.139  0.231
Se  0.227  0.227  0.532
Se  0.388  0.388  0.075
Se  0.545  0.545  0.631
Se  0.624  0.624  0.927
Se  0.844  0.844  0.796
Se  0.928  0.928  0.370

Values from the calculation:
The value obtained for the volume is 27.028 Å³ per atom. The raw formation energy comes out at -1.841 eV per atom. Its density of states at the Fermi level is 8.8 states/eV/cell. For the final energy, the calculation gives -5.91 eV per atom.

=====

[11]
A relaxed structure of Tb3Ce2Se8. Source: the Alexandria database, functional GGA-PBE.

Cell: 8.683 8.683 4.931 Å, 90.00 90.00 109.42°
Fractional positions:
Tb  0.000  0.000  0.000
Tb  0.279  0.279  0.500
Tb  0.721  0.721  0.500
Ce  0.264  0.736  0.000
Ce  0.736  0.264  0.000
Se  0.118  0.362  0.000
Se  0.118  0.882  0.500
Se  0.362  0.118  0.000
Se  0.373  0.627  0.500
Se  0.627  0.373  0.500
Se  0.638  0.882  0.000
Se  0.882  0.118  0.500
Se  0.882  0.638  0.000

Values from the calculation:
The value obtained for the volume is 26.969 Å³ per atom. The polymorph energy (0 for the lowest one) comes out at 95 meV per atom. The raw formation energy comes out at -1.666 eV per atom. Its density of states at the Fermi level is 9.8 states/eV/cell. For the final energy, the calculation gives -5.79 eV per atom.

=====

[12]
A relaxed structure of Tb6CeSe8. Source: the Alexandria database, functional GGA-PBE.

Cell: 8.183 8.183 8.183 Å, 60.00 60.00 60.00°
Fractional positions:
Tb  0.000  0.000  0.500
Tb  0.000  0.500  0.000
Tb  0.000  0.500  0.500
Tb  0.500  0.000  0.000
Tb  0.500  0.000  0.500
Tb  0.500  0.500  0.000
Ce  0.000  0.000  0.000
Se  0.250  0.250  0.250
Se  0.258  0.258  0.742
Se  0.258  0.742  0.258
Se  0.258  0.742  0.742
Se  0.742  0.258  0.258
Se  0.742  0.258  0.742
Se  0.742  0.742  0.258
Se  0.750  0.750  0.750

Values from the calculation:
The value obtained for the volume is 25.833 Å³ per atom. The raw formation energy comes out at -1.822 eV per atom. Its density of states at the Fermi level is 13.1 states/eV/cell. For the final energy, the calculation gives -5.93 eV per atom.